No. 1
First-principles (PBEsol) data for TcRu2Au after structural relaxation, as listed in Alexandria.

Cell and atoms, written as CIF:
```
data_TcRu2Au
_chemical_formula_sum 'Tc2 Ru4 Au2'
_space_group_name_H-M_alt 'C 1 2/m 1'
_space_group_IT_number 12
_space_group_name_Hall '-C 2y'
_cell_length_a 5.463
_cell_length_b 9.085
_cell_length_c 2.658
_cell_angle_alpha 90.00
_cell_angle_beta 118.32
_cell_angle_gamma 90.00
loop_
_atom_site_label
_atom_site_type_symbol
_atom_site_fract_x
_atom_site_fract_y
_atom_site_fract_z
Tc1 Tc 0.000 0.000 0.000
Ru1 Ru 0.250 0.250 0.500
Au1 Au 0.000 0.500 0.000
```

=====

No. 2
First-principles (PBEsol) data for TcRu2Au after structural relaxation, as listed in Alexandria.

Cell and atoms, written as CIF:
```
data_TcRu2Au
_chemical_formula_sum 'Tc2 Ru4 Au2'
_space_group_name_H-M_alt 'I 4/m m m'
_space_group_IT_number 139
_space_group_name_Hall '-I 4 2'
_cell_length_a 3.864
_cell_length_b 3.864
_cell_length_c 7.605
_cell_angle_alpha 90.00
_cell_angle_beta 90.00
_cell_angle_gamma 90.00
loop_
_atom_site_label
_atom_site_type_symbol
_atom_site_fract_x
_atom_site_fract_y
_atom_site_fract_z
Tc1 Tc 0.000 0.000 0.000
Ru1 Ru 0.000 0.500 0.250
Au1 Au 0.000 0.000 0.500
```

=====

No. 3
First-principles (PBEsol) data for TcRu2Au after structural relaxation, as listed in Alexandria.

Cell and atoms, written as CIF:
```
data_TcRu2Au
_chemical_formula_sum 'Tc2 Ru4 Au2'
_space_group_name_H-M_alt 'I -4 m 2'
_space_group_IT_number 119
_space_group_name_Hall 'I -4 -2'
_cell_length_a 3.794
_cell_length_b 3.794
_cell_length_c 7.887
_cell_angle_alpha 90.00
_cell_angle_beta 90.00
_cell_angle_gamma 90.00
loop_
_atom_site_label
_atom_site_type_symbol
_atom_site_fract_x
_atom_site_fract_y
_atom_site_fract_z
Tc1 Tc 0.000 0.000 0.000
Ru1 Ru 0.000 0.000 0.500
Ru2 Ru 0.000 0.500 0.750
Au1 Au 0.000 0.500 0.250
```

=====

No. 4
# Te2RuAu, optimized geometry, DFT PBEsol
# - formation energy (no corrections) (eV/atom) = 0.4559
data_Te2RuAu
_chemical_formula_sum 'Te2 Ru1 Au1'
_space_group_name_H-M_alt 'P 4/m m m'
_space_group_IT_number 123
_space_group_name_Hall '-P 4 2'
_cell_length_a 4.788
_cell_length_b 4.788
_cell_length_c 3.409
_cell_angle_alpha 90.00
_cell_angle_beta 90.00
_cell_angle_gamma 90.00
loop_
_atom_site_label
_atom_site_type_symbol
_atom_site_fract_x
_atom_site_fract_y
_atom_site_fract_z
Te1 Te 0.000 0.500 0.000
Ru1 Ru 0.000 0.000 0.500
Au1 Au 0.500 0.500 0.500

=====

| no. | energy above the most stable polymorph in this dataset (meV per atom) |
| --- | --- |
| 1 | 327 |
| 2 | 51 |
| 3 | 74 |
| 4 | 341 |